! CrPdPtO2 PBE with a Hubbard U optimized geometry; values from VASP
&SYSTEM
  ibrav = 0, nat = 5, ntyp = 4
/
ATOMIC_SPECIES
Cr 52.00 Cr.upf
Pd 106.42 Pd.upf
Pt 195.08 Pt.upf
O 16.00 O.upf
ATOMIC_POSITIONS crystal
Cr 0.000 0.000 0.000
Pd 0.000 0.000 0.500
Pt 0.500 0.500 0.000
O 0.000 0.500 0.500
O 0.500 0.000 0.500
CELL_PARAMETERS angstrom
3.747 0.000 0.000
0.000 3.747 0.000
0.000 0.000 5.957
! Total magnetization, μB/f.u.: 0.4
! Symmetry: No. 123
! Uncorrected energy, eV per cell: -23.09